[1]
First-principles (PBE) data for a relaxed ErP2RuRh2 crystal, as listed in Alexandria.

Lattice parameters (Å, degrees): 4.146 4.146 6.261 90.00 90.00 120.00
Fractional coordinates of all 6 atoms:
Er 0.000 0.000 0.000
P 0.333 0.667 0.306
P 0.667 0.333 0.694
Ru 0.000 0.000 0.500
Rh 0.333 0.667 0.705
Rh 0.667 0.333 0.295

Computed properties:
Crystal system: trigonal
Electronic total energy (eV per cell): -43.8

***

[2]
First-principles (PBE) data for a relaxed AgPt3 crystal, as listed in Alexandria.

Lattice parameters (Å, degrees): 7.465 7.465 7.465 148.92 113.92 74.82
Fractional coordinates of all 12 atoms:
Ag 0.000 0.000 0.000
Ag 0.160 0.660 0.500
Ag 0.840 0.340 0.500
Pt 0.090 0.833 0.258
Pt 0.265 0.500 0.765
Pt 0.329 0.329 0.000
Pt 0.425 0.167 0.258
Pt 0.500 0.000 0.500
Pt 0.575 0.833 0.742
Pt 0.671 0.671 0.000
Pt 0.735 0.500 0.235
Pt 0.910 0.167 0.742

Computed properties:
Crystal system: orthorhombic
Electronic total energy (eV per cell): -62.7

***

[3]
First-principles (PBE) data for a relaxed ZrGePd5 crystal, as listed in Alexandria.

Lattice parameters (Å, degrees): 4.061 4.061 7.031 90.00 90.00 90.00
Fractional coordinates of all 7 atoms:
Zr 0.000 0.000 0.000
Ge 0.500 0.500 0.500
Pd 0.000 0.500 0.284
Pd 0.000 0.500 0.716
Pd 0.500 0.000 0.284
Pd 0.500 0.000 0.716
Pd 0.500 0.500 0.000

Computed properties:
Crystal system: tetragonal
Energy above the lowest structure with this stoichiometry (meV per atom): 0

***

[4]
First-principles (PBE) data for a relaxed Ac3La5S8 crystal, as listed in Alexandria.

Lattice parameters (Å, degrees): 8.432 8.432 8.432 59.96 59.96 59.96
Fractional coordinates of all 16 atoms:
Ac 0.000 0.500 0.500
Ac 0.500 0.000 0.500
Ac 0.500 0.500 0.000
La 0.000 0.000 0.000
La 0.000 0.000 0.500
La 0.000 0.500 0.000
La 0.500 0.000 0.000
La 0.500 0.500 0.500
S 0.243 0.750 0.750
S 0.247 0.247 0.247
S 0.250 0.250 0.757
S 0.250 0.757 0.250
S 0.750 0.243 0.750
S 0.750 0.750 0.243
S 0.753 0.753 0.753
S 0.757 0.250 0.250

Computed properties:
Crystal system: trigonal
Formation energy without anion corrections (eV per atom): -2.104

***

| no. | M_tot (μB/f.u.) |
| --- | --- |
| 1 | 0.00 |
| 2 | 0.00 |
| 3 | 0.00 |
| 4 | 0.00 |